10
Lattice="6.3045 -2.9634 0.0000 6.3045 2.9634 0.0000 -3.3986 0.0000 9.1171" Properties=species:S:1:pos:R:3 comment="Pm2PrY2 | Alexandria via LeMat-Bulk | PBE | optimized geometry" density_g_cm3=5.934 e_tot_ev_per_atom=-5.337 spacegroup="No. 12" e_above_lowest_polymorph_mev_per_atom=0 ef_mev_per_atom=105 pbc="T T T"
Pm 1.8069 0.0000 0.4123
Pm 0.8092 0.0000 6.6722
Pm 8.4012 0.0000 2.4448
Pm 7.4035 0.0000 8.7047
Pr -0.5765 0.0000 3.1448
Pr 9.7869 0.0000 5.9723
Y 3.0222 0.0000 3.9312
Y 5.1739 0.0000 1.2293
Y 4.0365 0.0000 7.8878
Y 6.1882 0.0000 5.1859